(w)
TaTi3N2: relaxed, GGA-PBE.

## Properties
As for the volume: 306 Å³/cell. Its density of states at the Fermi level is 0.38 states/eV per atom. The magnetization comes out at 0.00 μB/f.u.

Cell lengths 7.034, 7.118, 6.114 Å; angles 90.00, 90.00, 90.00 degrees
Space group Cmcm (No. 63)
Asymmetric unit:
Ta: 0.000 0.205 0.250 [4 per cell]
Ti: 0.000 0.207 0.750 [4 per cell]
Ti: 0.203 0.500 0.000 [8 per cell]
N: 0.000 0.000 0.000 [4 per cell]
N: 0.000 0.498 0.750 [4 per cell]


(x)
TaTi3N2: relaxed, GGA-PBE.

## Properties
As for the volume: 283 Å³/cell. Its density of states at the Fermi level is 0.73 states/eV per atom. The magnetization comes out at 0.00 μB/f.u.

Cell lengths 7.392, 7.446, 5.147 Å; angles 90.00, 90.00, 90.00 degrees
Space group Cmcm (No. 63)
Asymmetric unit:
Ta: 0.000 0.071 0.250 [4 per cell]
Ti: 0.000 0.426 0.250 [4 per cell]
Ti: 0.177 0.252 0.750 [8 per cell]
N: 0.249 0.500 0.000 [8 per cell]


The computed energies, referenced to the most stable structure and given in meV/atom, are (w) 0; (x) 545.